Record 1
This record from Alexandria via LeMat-Bulk describes a geometry-optimized MgZr2P structure. The functional is PBE.

As for the formation energy: -0.319 eV/atom. For the density of states at the Fermi level, the calculation gives 2.9 states/eV/f.u. As for the volume: 152.2 Å³ per cell. The calculation puts the excess energy over the best structure of this formula in the dataset at 311.5 meV/atom. For the calculated density, the calculation gives 5.2 g/cm³.

The structure belongs to space group I4/mmm (No. 139); the cell edges are 4.250, 4.250 and 8.424 Å and the angles 90.00°, 90.00° and 90.00°. The asymmetric unit holds Mg at (0.000, 0.000, 0.000), Zr at (0.000, 0.500, 0.250) and P at (0.000, 0.000, 0.500).



Record 2
This record from Alexandria via LeMat-Bulk describes a geometry-optimized MgZrP2 structure. The functional is PBE.

As for the formation energy: -0.657 eV/atom. For the density of states at the Fermi level, the calculation gives 1.5 states/eV/f.u. As for the volume: 69.9 Å³ per cell. For the calculated density, the calculation gives 4.2 g/cm³.

The structure belongs to space group Pmmm (No. 47); the cell edges are 3.443, 3.460 and 5.871 Å and the angles 90.00°, 90.00° and 90.00°. The asymmetric unit holds Mg at (0.000, 0.000, 0.000), Zr at (0.000, 0.000, 0.500) and P at (0.500, 0.500, 0.278).



Record 3
This record from Alexandria via LeMat-Bulk describes a geometry-optimized Mg2ZrP structure. The functional is PBE.

As for the formation energy: -0.198 eV/atom. For the density of states at the Fermi level, the calculation gives 2.4 states/eV/f.u. As for the volume: 339.6 Å³ per cell. For the calculated density, the calculation gives 3.3 g/cm³.

The structure belongs to space group I-42d (No. 122); the cell edges are 8.046, 8.046 and 5.246 Å and the angles 90.00°, 90.00° and 90.00°. The asymmetric unit holds Mg at (0.183, 0.250, 0.125), Zr at (0.000, 0.000, 0.500) and P at (0.000, 0.000, 0.000).



Record 4
This record from Alexandria via LeMat-Bulk describes a geometry-optimized MgZr2P structure. The functional is PBE.

As for the formation energy: 0.157 eV/atom. For the density of states at the Fermi level, the calculation gives 3.2 states/eV/f.u. As for the volume: 307.7 Å³ per cell. The calculation puts the excess energy over the best structure of this formula in the dataset at 787.0 meV/atom. For the calculated density, the calculation gives 5.1 g/cm³.

The structure belongs to space group F-43m (No. 216); the cell edges are 6.751, 6.751 and 6.751 Å and the angles 90.00°, 90.00° and 90.00°. The asymmetric unit holds Mg at (0.000, 0.000, 0.000), Zr at (0.000, 0.000, 0.500), Zr at (0.250, 0.250, 0.750) and P at (0.250, 0.250, 0.250).



Record 5
This record from Alexandria via LeMat-Bulk describes a geometry-optimized MgZrP2 structure. The functional is PBE.

As for the formation energy: -0.612 eV/atom. For the density of states at the Fermi level, the calculation gives 1.5 states/eV/f.u. As for the volume: 139.1 Å³ per cell. For the calculated density, the calculation gives 4.2 g/cm³.

The structure belongs to space group I-4m2 (No. 119); the cell edges are 3.740, 3.740 and 9.944 Å and the angles 90.00°, 90.00° and 90.00°. The asymmetric unit holds Mg at (0.000, 0.000, 0.000), Zr at (0.000, 0.500, 0.250), P at (0.000, 0.000, 0.500) and P at (0.000, 0.500, 0.750).



Record 6
This record from Alexandria via LeMat-Bulk describes a geometry-optimized MgZr2P structure. The functional is PBE.

As for the formation energy: -0.383 eV/atom. For the density of states at the Fermi level, the calculation gives 3.2 states/eV/f.u. As for the volume: 157.5 Å³ per cell. The calculation puts the excess energy over the best structure of this formula in the dataset at 247.9 meV/atom. For the calculated density, the calculation gives 5.0 g/cm³.

The structure belongs to space group Cm (No. 8); the cell edges are 10.998, 3.403 and 4.640 Å and the angles 90.00°, 114.92° and 90.00°. The asymmetric unit holds Mg at (0.000, 0.000, 0.000), Zr at (0.205, 0.000, 0.706), Zr at (0.420, 0.000, 0.420) and P at (0.214, 0.500, 0.215).



Record 7
This record from Alexandria via LeMat-Bulk describes a geometry-optimized MgZr2P structure. The functional is PBE.

As for the formation energy: -0.401 eV/atom. For the density of states at the Fermi level, the calculation gives 3.5 states/eV/f.u. As for the volume: 170.2 Å³ per cell. The calculation puts the excess energy over the best structure of this formula in the dataset at 229.0 meV/atom. For the calculated density, the calculation gives 4.6 g/cm³.

The structure belongs to space group Immm (No. 71); the cell edges are 3.553, 5.029 and 9.523 Å and the angles 90.00°, 90.00° and 90.00°. The asymmetric unit holds Mg at (0.000, 0.000, 0.000), Zr at (0.000, 0.500, 0.190) and P at (0.000, 0.000, 0.500).



Record 8
This record from Alexandria via LeMat-Bulk describes a geometry-optimized MgZr2P structure. The functional is PBE.

As for the formation energy: -0.607 eV/atom. For the density of states at the Fermi level, the calculation gives 4.4 states/eV/f.u. As for the volume: 267.4 Å³ per cell. The calculation puts the excess energy over the best structure of this formula in the dataset at 23.1 meV/atom. For the calculated density, the calculation gives 4.4 g/cm³.

The structure belongs to space group R3m (No. 160, hexagonal axes); the cell edges are 3.6073, 3.6073 and 23.7352 Å and the angles 90.00°, 90.00° and 120.00°. The asymmetric unit holds Mg at (0.0000, 0.0000, 0.0000), Zr at (0.0000, 0.0000, 0.2282), Zr at (0.0000, 0.0000, 0.4387) and P at (0.0000, 0.0000, 0.8331).



calculated density of number 2 (MgZrP2)? 4.2 g/cm³